(1)
The following is a PBE calculation of crystalline La2Pm5NdEr at its relaxed geometry, from Alexandria.

Summary:
electronic total energy: -4.532 eV per atom
symmetry: P4/mbm

Unit cell a=8.765 b=8.765 c=8.242 alpha=90.00 beta=90.00 gamma=90.00
Fractional positions:
La 0.119 0.381 0.000
La 0.381 0.881 0.000
La 0.619 0.119 0.000
La 0.881 0.619 0.000
Pm 0.000 0.000 0.000
Pm 0.218 0.718 0.283
Pm 0.218 0.718 0.717
Pm 0.282 0.218 0.283
Pm 0.282 0.218 0.717
Pm 0.500 0.500 0.000
Pm 0.718 0.782 0.283
Pm 0.718 0.782 0.717
Pm 0.782 0.282 0.283
Pm 0.782 0.282 0.717
Nd 0.000 0.000 0.500
Nd 0.500 0.500 0.500
Er 0.000 0.500 0.500
Er 0.500 0.000 0.500


(2)
The following is a PBE calculation of crystalline LaPm4Nd2Er2 at its relaxed geometry, from Alexandria.

Summary:
electronic total energy: -4.711 eV per atom
symmetry: C2/m

Unit cell a=8.144 b=8.144 c=8.126 alpha=107.57 beta=107.57 gamma=36.85
Fractional positions:
La 0.000 0.000 0.000
Pm 0.222 0.222 0.330
Pm 0.444 0.444 0.668
Pm 0.556 0.556 0.332
Pm 0.778 0.778 0.670
Nd 0.112 0.112 0.667
Nd 0.888 0.888 0.333
Er 0.331 0.331 0.001
Er 0.669 0.669 0.999


(3)
The following is a PBE calculation of crystalline La6Pm2NdEr at its relaxed geometry, from Alexandria.

Summary:
electronic total energy: -4.660 eV per atom
symmetry: C2/m

Unit cell a=6.747 b=6.747 c=9.326 alpha=105.16 beta=105.16 gamma=62.36
Fractional positions:
La 0.067 0.534 0.193
La 0.128 0.128 0.421
La 0.466 0.933 0.807
La 0.534 0.067 0.193
La 0.872 0.872 0.579
La 0.933 0.466 0.807
Pm 0.428 0.428 0.831
Pm 0.572 0.572 0.169
Nd 0.500 0.500 0.500
Er 0.000 0.000 0.000


(4)
The following is a PBE calculation of crystalline LaPmNd3Er at its relaxed geometry, from Alexandria.

Summary:
electronic total energy: -4.737 eV per atom
symmetry: P2_1/m

Unit cell a=8.161 b=5.197 c=10.352 alpha=90.00 beta=108.46 gamma=90.00
Fractional positions:
La 0.168 0.250 0.290
La 0.832 0.750 0.710
Pm 0.499 0.250 0.627
Pm 0.501 0.750 0.373
Nd 0.169 0.750 0.544
Nd 0.171 0.250 0.794
Nd 0.172 0.750 0.041
Nd 0.828 0.250 0.959
Nd 0.829 0.750 0.206
Nd 0.831 0.250 0.456
Er 0.498 0.750 0.877
Er 0.502 0.250 0.123


no.,DOS(E_F) (states/eV/f.u.),formation enthalpy at 0 K (eV per atom)
1,14.441,0.239
2,14.553,0.021
3,17.626,0.180
4,9.525,0.020